Density functional theory data (meta-GGA SCAN) for a PBEsol-optimized structure of Li3Pt.

Calculated values
DOS(E_F) ... 2.831 states/eV per cell
E above lowest polymorph ... 49.8 meV per atom
Symmetry ... Cmcm (63)
ΔH_f (0 K) ... -0.44 eV per atom
Total magnetic moment ... 0.00 μB/cell

abc: 4.296 4.296 7.652
angles: 90.00 90.00 119.96
Fractional coordinates of all 8 atoms:
Li 0.000 0.000 0.250
Li 0.000 0.000 0.750
Li 0.333 0.667 0.581
Li 0.333 0.667 0.919
Li 0.667 0.333 0.081
Li 0.667 0.333 0.419
Pt 0.334 0.666 0.250
Pt 0.666 0.334 0.750